DFT (GGA-PBE) results for a relaxed structure of ReMo.

Cell lengths 2.778, 2.778, 4.633 Å; angles 90.00, 90.00, 120.00 degrees
Element x y z (fractional)
1 Re 0.000 0.000 0.000
2 Mo 0.667 0.333 0.500

symmetry: P-6m2
energy of formation: 0.236 eV per atom
crystal system: hexagonal
relative energy among the computed polymorphs: 143 meV/atom



DFT (GGA-PBE) results for a relaxed structure of SrReAu3.

Cell lengths 5.095, 5.095, 5.095 Å; angles 90.00, 90.00, 90.00 degrees
Element x y z (fractional)
1 Sr 0.000 0.000 0.000
2 Re 0.500 0.500 0.500
3 Au 0.000 0.500 0.500
4 Au 0.500 0.000 0.500
5 Au 0.500 0.500 0.000

symmetry: Pm-3m
energy of formation: 0.315 eV per atom
crystal system: cubic
relative energy among the computed polymorphs: 0 meV/atom



DFT (GGA-PBE) results for a relaxed structure of ReTeSN2.

Cell lengths 3.892, 3.892, 5.603 Å; angles 90.00, 90.00, 90.00 degrees
Element x y z (fractional)
1 Re 0.000 0.000 0.000
2 Te 0.500 0.500 0.500
3 S 0.500 0.500 0.000
4 N 0.000 0.500 0.500
5 N 0.500 0.000 0.500

symmetry: P4/mmm
formation energy (no corrections): 2060.7 meV/atom
crystal system: tetragonal
relative energy among the computed polymorphs: 1551 meV/atom



DFT (GGA-PBE) results for a relaxed structure of TbIrAu.

Cell lengths 10.080, 5.555, 4.906 Å; angles 90.00, 118.46, 90.00 degrees
Element x y z (fractional)
1 Tb 0.128 0.000 0.379
2 Tb 0.372 0.500 0.621
3 Tb 0.628 0.500 0.379
4 Tb 0.872 0.000 0.621
5 Ir 0.057 0.500 0.306
6 Ir 0.443 0.000 0.694
7 Ir 0.557 0.000 0.306
8 Ir 0.943 0.500 0.694
9 Au 0.250 0.250 0.000
10 Au 0.250 0.750 0.000
11 Au 0.750 0.250 0.000
12 Au 0.750 0.750 0.000

symmetry: C2/m
energy of formation: -0.389 eV per atom
crystal system: monoclinic



no.,uncorrected energy (eV/atom)
1,-11.4039
2,-4.4770
3,-5.2129
4,-5.9788